## one
The following is a GGA-PBEsol calculation of BeCd2Cu after structural relaxation, from Alexandria via LeMat-Bulk.

a = 4.393 Å, b = 4.393 Å, c = 4.393 Å
α = 120.70°, β = 120.70°, γ = 88.78°
Element x y z (fractional)
Be1 0.000 0.000 0.000
Cd1 0.250 0.750 0.500
Cd2 0.750 0.250 0.500
Cu1 0.500 0.500 0.000

Computed properties:
As for the space group: No. 139.



## two
The following is a GGA-PBEsol calculation of BeCd2Cu after structural relaxation, from Alexandria via LeMat-Bulk.

a = 8.738 Å, b = 8.738 Å, c = 8.738 Å
α = 18.88°, β = 18.88°, γ = 18.88°
Element x y z (fractional)
Be1 0.000 0.000 0.000
Cd1 0.252 0.252 0.252
Cd2 0.748 0.748 0.748
Cu1 0.500 0.500 0.500

Computed properties:
As for the space group: No. 166.



Q: Which of them is the least stable? A: two.



## one
The following is a GGA-PBEsol calculation of BeCdFe2 after structural relaxation, from Alexandria via LeMat-Bulk.

a = 2.641 Å, b = 2.641 Å, c = 6.905 Å
α = 90.00°, β = 90.00°, γ = 90.00°
Element x y z (fractional)
Be1 0.000 0.000 0.000
Cd1 0.000 0.000 0.500
Fe1 0.500 0.500 0.196
Fe2 0.500 0.500 0.804

Computed properties:
As for the space group: No. 123.



## two
The following is a GGA-PBEsol calculation of BeCdFe2 after structural relaxation, from Alexandria via LeMat-Bulk.

a = 4.110 Å, b = 4.110 Å, c = 4.110 Å
α = 60.00°, β = 60.00°, γ = 60.00°
Element x y z (fractional)
Be1 0.000 0.000 0.000
Cd1 0.750 0.750 0.750
Fe1 0.250 0.250 0.250
Fe2 0.500 0.500 0.500

Computed properties:
As for the space group: No. 216.



Q: Which of them is the least stable? A: two.



## one
The following is a GGA-PBEsol calculation of BeCd2I after structural relaxation, from Alexandria via LeMat-Bulk.

a = 5.175 Å, b = 5.175 Å, c = 5.175 Å
α = 60.00°, β = 60.00°, γ = 60.00°
Element x y z (fractional)
Be1 0.000 0.000 0.000
Cd1 0.250 0.250 0.250
Cd2 0.750 0.750 0.750
I1 0.500 0.500 0.500

Computed properties:
As for the space group: No. 225.



## two
The following is a GGA-PBEsol calculation of BeCd2I after structural relaxation, from Alexandria via LeMat-Bulk.

a = 6.300 Å, b = 6.300 Å, c = 6.300 Å
α = 104.36°, β = 104.36°, γ = 120.27°
Element x y z (fractional)
Be1 0.000 0.000 0.000
Be2 0.750 0.250 0.500
Cd1 0.058 0.625 0.933
Cd2 0.375 0.308 0.433
Cd3 0.692 0.125 0.067
Cd4 0.875 0.942 0.567
I1 0.250 0.750 0.500
I2 0.500 0.500 0.000

Computed properties:
As for the space group: No. 122.



Q: Which of them is the least stable? A: one.



## one
The following is a GGA-PBEsol calculation of Be2CdIn after structural relaxation, from Alexandria via LeMat-Bulk.

a = 2.777 Å, b = 4.225 Å, c = 5.753 Å
α = 90.00°, β = 90.00°, γ = 90.00°
Element x y z (fractional)
Be1 0.000 0.000 0.000
Be2 0.500 0.000 0.500
Cd1 0.000 0.500 0.500
In1 0.500 0.500 0.000

Computed properties:
As for the space group: No. 47.



## two
The following is a GGA-PBEsol calculation of Be2CdIn after structural relaxation, from Alexandria via LeMat-Bulk.

a = 4.677 Å, b = 4.677 Å, c = 3.014 Å
α = 90.00°, β = 90.00°, γ = 108.02°
Element x y z (fractional)
Be1 0.000 0.500 0.000
Be2 0.500 0.000 0.000
Cd1 0.000 0.000 0.500
In1 0.500 0.500 0.500

Computed properties:
As for the space group: No. 65.



Q: Which of them is the least stable? A: one.



## one
The following is a GGA-PBEsol calculation of LaBeCd after structural relaxation, from Alexandria via LeMat-Bulk.

a = 4.645 Å, b = 4.645 Å, c = 3.557 Å
α = 90.00°, β = 90.00°, γ = 120.00°
Element x y z (fractional)
La1 0.000 0.000 0.000
Be1 0.667 0.333 0.500
Cd1 0.333 0.667 0.500

Computed properties:
As for the space group: No. 187.



## two
The following is a GGA-PBEsol calculation of LaBeCd after structural relaxation, from Alexandria via LeMat-Bulk.

a = 4.914 Å, b = 4.914 Å, c = 4.914 Å
α = 60.00°, β = 60.00°, γ = 60.00°
Element x y z (fractional)
La1 0.000 0.000 0.000
Be1 0.750 0.750 0.750
Cd1 0.250 0.250 0.250

Computed properties:
As for the space group: No. 216.



Q: Which of them is the least stable? A: two.



## one
The following is a GGA-PBEsol calculation of Li2BeCd after structural relaxation, from Alexandria via LeMat-Bulk.

a = 2.722 Å, b = 3.879 Å, c = 5.663 Å
α = 90.00°, β = 90.00°, γ = 90.00°
Element x y z (fractional)
Li1 0.000 0.000 0.000
Li2 0.500 0.500 0.265
Be1 0.000 0.000 0.509
Cd1 0.500 0.500 0.730

Computed properties:
As for the space group: No. 25.



## two
The following is a GGA-PBEsol calculation of Li2BeCd after structural relaxation, from Alexandria via LeMat-Bulk.

a = 4.303 Å, b = 4.303 Å, c = 4.303 Å
α = 60.00°, β = 60.00°, γ = 60.00°
Element x y z (fractional)
Li1 0.250 0.250 0.250
Li2 0.750 0.750 0.750
Be1 0.000 0.000 0.000
Cd1 0.500 0.500 0.500

Computed properties:
As for the space group: No. 225.



Q: Which of them is the least stable? A: two.